No. 1
Density functional theory data (GGA-PBEsol) for a relaxed NaLuSiO4 crystal.

## Properties
Symmetry: Pnma
E_form (uncorrected): -3032 meV/atom

abc: 5.0851 6.2530 10.9636
angles: 90.00 90.00 90.00
With the nearest neighbours (Å) after each atom.
Element x y z (fractional)
O  0.2994  0.0476  0.8251  1 Si 1.67
O  0.7994  0.5476  0.6749  1 Si 1.67
O  0.2006  0.4524  0.3251  1 Si 1.67
O  0.6595  0.7500  0.9606  1 Si 1.63
O  0.1595  0.2500  0.5394  1 Si 1.63
O  0.7390  0.2500  0.3841  1 Si 1.62
O  0.2610  0.7500  0.6159  1 Si 1.62
O  0.2994  0.4524  0.8251  1 Si 1.67
O  0.7006  0.9524  0.1749  1 Si 1.67
O  0.7006  0.5476  0.1749  1 Si 1.67
O  0.8405  0.7500  0.4606  1 Si 1.63
O  0.7994  0.9524  0.6749  1 Si 1.67
O  0.7610  0.2500  0.8841  1 Si 1.62
O  0.2006  0.0476  0.3251  1 Si 1.67
O  0.3405  0.2500  0.0394  1 Si 1.63
O  0.2390  0.7500  0.1159  1 Si 1.62
Lu  0.4939  0.2500  0.2210  6 O 2.14-2.26
Lu  0.0061  0.2500  0.7210  6 O 2.14-2.26
Lu  0.9939  0.7500  0.2790  6 O 2.14-2.26
Lu  0.5061  0.7500  0.7790  6 O 2.14-2.26
Na  0.5000  0.0000  0.5000  6 O 2.35-2.47
Na  0.5000  0.5000  0.5000  6 O 2.35-2.47
Na  0.0000  0.5000  0.0000  6 O 2.35-2.47
Na  0.0000  0.0000  0.0000  6 O 2.35-2.47
Si  0.5558  0.7500  0.1015  4 O 1.62-1.67
Si  0.9442  0.7500  0.6015  4 O 1.62-1.67
Si  0.4442  0.2500  0.8985  4 O 1.62-1.67
Si  0.0558  0.2500  0.3985  4 O 1.62-1.67

***

No. 2
Density functional theory data (GGA-PBEsol) for a relaxed NaLuS2 crystal.

## Properties
Symmetry: R-3m
E_form (uncorrected): -1879 meV/atom

abc: 3.8455 3.8455 6.9450
angles: 73.93 73.93 60.00
With the nearest neighbours (Å) after each atom.
Element x y z (fractional)
S  0.7589  0.7589  0.7233  3 Lu 2.66, 3 Na 2.87
S  0.2411  0.2411  0.2767  3 Lu 2.66, 3 Na 2.87
Na  0.0000  0.0000  0.0000  6 S 2.87
Lu  0.5000  0.5000  0.5000  6 S 2.66

***

No. 3
Density functional theory data (GGA-PBEsol) for a relaxed Lu2Nb2O7 crystal.

## Properties
Symmetry: Fd-3m
E_form (uncorrected): -3022 meV/atom

abc: 7.1486 7.1486 7.1486
angles: 60.00 60.00 60.00
With the nearest neighbours (Å) after each atom.
Element x y z (fractional)
O  0.7261  0.2739  0.7261  2 Nb 2.06
O  0.5239  0.5239  0.9761  2 Nb 2.06
O  0.9761  0.9761  0.5239  2 Nb 2.06
O  0.7261  0.7261  0.2739  2 Nb 2.06
O  0.5239  0.9761  0.5239  2 Nb 2.06
O  0.5239  0.9761  0.9761  2 Nb 2.06
O  0.7261  0.2739  0.2739  2 Nb 2.06
O  0.0000  0.0000  0.0000  4 Lu 2.19
O  0.9761  0.5239  0.5239  2 Nb 2.06
O  0.2739  0.2739  0.7261  2 Nb 2.06
O  0.2739  0.7261  0.7261  2 Nb 2.06
O  0.2500  0.2500  0.2500  4 Lu 2.19
O  0.2739  0.7261  0.2739  2 Nb 2.06
O  0.9761  0.5239  0.9761  2 Nb 2.06
Lu  0.6250  0.1250  0.1250  8 O 2.19-2.34
Lu  0.1250  0.1250  0.1250  8 O 2.19-2.34
Lu  0.1250  0.1250  0.6250  8 O 2.19-2.34
Lu  0.1250  0.6250  0.1250  8 O 2.19-2.34
Nb  0.6250  0.6250  0.1250  6 O 2.06
Nb  0.1250  0.6250  0.6250  6 O 2.06
Nb  0.6250  0.6250  0.6250  6 O 2.06
Nb  0.6250  0.1250  0.6250  6 O 2.06

***

No. 4
Density functional theory data (GGA-PBEsol) for a relaxed LuNbRu2 crystal.

## Properties
Symmetry: Fm-3m
ΔH_f (0 K): -400 meV/atom

abc: 4.5245 4.5245 4.5245
angles: 60.00 60.00 60.00
With the nearest neighbours (Å) after each atom.
Element x y z (fractional)
Nb  0.0000  0.0000  0.0000  8 Ru 2.77
Lu  0.5000  0.5000  0.5000  8 Ru 2.77
Ru  0.7500  0.7500  0.7500  4 Lu 2.77, 4 Nb 2.77
Ru  0.2500  0.2500  0.2500  4 Lu 2.77, 4 Nb 2.77